# 1
# Li2CaTe | Alexandria via LeMat-Bulk | PBE | relaxed
data_Li2CaTe
_chemical_formula_sum 'Li2 Ca1 Te1'
_cell_length_a 4.041
_cell_length_b 4.041
_cell_length_c 6.340
_cell_angle_alpha 90.00
_cell_angle_beta 90.00
_cell_angle_gamma 90.25
_symmetry_space_group_name_H-M 'P 1'
_symmetry_Int_Tables_number 1
_symmetry_space_group_name_Hall 'P 1'
loop_
_atom_site_label
_atom_site_type_symbol
_atom_site_fract_x
_atom_site_fract_y
_atom_site_fract_z
_atom_site_occupancy
Li1 Li 0.000 0.000 0.204 1
Li2 Li 0.000 0.000 0.796 1
Ca1 Ca 0.500 0.500 0.500 1
Te1 Te 0.500 0.500 0.000 1
# Calculated total energy: -2.833 eV per atom
# Size of the total moment: 0.00 Bohr magnetons per cell
# SG: Cmmm, No. 65


# 2
# Er7Ir2Au2 | Alexandria via LeMat-Bulk | PBE | relaxed
data_Er7Ir2Au2
_chemical_formula_sum 'Er7 Ir2 Au2'
_cell_length_a 9.223
_cell_length_b 9.223
_cell_length_c 9.223
_cell_angle_alpha 156.03
_cell_angle_beta 65.96
_cell_angle_gamma 119.57
_symmetry_space_group_name_H-M 'P 1'
_symmetry_Int_Tables_number 1
_symmetry_space_group_name_Hall 'P 1'
loop_
_atom_site_label
_atom_site_type_symbol
_atom_site_fract_x
_atom_site_fract_y
_atom_site_fract_z
_atom_site_occupancy
Er1 Er 0.000 0.000 0.000 1
Er2 Er 0.068 0.382 0.686 1
Er3 Er 0.100 0.743 0.357 1
Er4 Er 0.386 0.743 0.643 1
Er5 Er 0.463 0.582 0.881 1
Er6 Er 0.696 0.382 0.314 1
Er7 Er 0.701 0.582 0.119 1
Ir1 Ir 0.331 0.085 0.246 1
Ir2 Ir 0.839 0.085 0.754 1
Au1 Au 0.324 0.324 0.000 1
Au2 Au 0.753 0.253 0.500 1
# Calculated total energy: -5.839 eV per atom
# Energy of formation: -0.73 eV/atom
# Polymorph energy (0 for the lowest one): 0 meV per atom
# Size of the total moment: 0.00 Bohr magnetons per cell
# SG: Imm2, No. 44


# 3
# PaNi12B5 | Alexandria via LeMat-Bulk | PBE | relaxed
data_PaNi12B5
_chemical_formula_sum 'Pa1 Ni12 B5'
_cell_length_a 6.223
_cell_length_b 6.223
_cell_length_c 6.223
_cell_angle_alpha 114.26
_cell_angle_beta 111.75
_cell_angle_gamma 102.62
_symmetry_space_group_name_H-M 'P 1'
_symmetry_Int_Tables_number 1
_symmetry_space_group_name_Hall 'P 1'
loop_
_atom_site_label
_atom_site_type_symbol
_atom_site_fract_x
_atom_site_fract_y
_atom_site_fract_z
_atom_site_occupancy
Pa1 Pa 0.000 0.000 0.000 1
Ni1 Ni 0.138 0.817 0.321 1
Ni2 Ni 0.232 0.321 0.554 1
Ni3 Ni 0.232 0.679 0.911 1
Ni4 Ni 0.281 0.097 0.817 1
Ni5 Ni 0.281 0.464 0.183 1
Ni6 Ni 0.497 0.817 0.679 1
Ni7 Ni 0.503 0.183 0.321 1
Ni8 Ni 0.719 0.536 0.817 1
Ni9 Ni 0.719 0.903 0.183 1
Ni10 Ni 0.768 0.321 0.089 1
Ni11 Ni 0.768 0.679 0.446 1
Ni12 Ni 0.862 0.183 0.679 1
B1 B 0.110 0.610 0.500 1
B2 B 0.500 0.140 0.640 1
B3 B 0.500 0.500 0.000 1
B4 B 0.500 0.860 0.360 1
B5 B 0.890 0.390 0.500 1
# Calculated total energy: -6.407 eV per atom
# Energy of formation: -0.17 eV/atom
# Size of the total moment: 0.00 Bohr magnetons per cell
# SG: Immm, No. 71


# 4
# ThSb2Rh9 | Alexandria via LeMat-Bulk | PBE | relaxed
data_ThSb2Rh9
_chemical_formula_sum 'Th1 Sb2 Rh9'
_cell_length_a 4.034
_cell_length_b 4.034
_cell_length_c 12.004
_cell_angle_alpha 90.00
_cell_angle_beta 90.00
_cell_angle_gamma 90.00
_symmetry_space_group_name_H-M 'P 1'
_symmetry_Int_Tables_number 1
_symmetry_space_group_name_Hall 'P 1'
loop_
_atom_site_label
_atom_site_type_symbol
_atom_site_fract_x
_atom_site_fract_y
_atom_site_fract_z
_atom_site_occupancy
Th1 Th 0.000 0.000 0.000 1
Sb1 Sb 0.000 0.000 0.340 1
Sb2 Sb 0.000 0.000 0.660 1
Rh1 Rh 0.000 0.500 0.179 1
Rh2 Rh 0.000 0.500 0.500 1
Rh3 Rh 0.000 0.500 0.821 1
Rh4 Rh 0.500 0.000 0.179 1
Rh5 Rh 0.500 0.000 0.500 1
Rh6 Rh 0.500 0.000 0.821 1
Rh7 Rh 0.500 0.500 0.000 1
Rh8 Rh 0.500 0.500 0.337 1
Rh9 Rh 0.500 0.500 0.663 1
# Calculated total energy: -7.217 eV per atom
# Size of the total moment: 0.00 Bohr magnetons per cell
# SG: P4/mmm, No. 123


# 5
# Nd2In3Te6Pb | Alexandria via LeMat-Bulk | PBE | relaxed
data_Nd2In3Te6Pb
_chemical_formula_sum 'Nd2 In3 Te6 Pb1'
_cell_length_a 10.469
_cell_length_b 10.469
_cell_length_c 9.441
_cell_angle_alpha 105.17
_cell_angle_beta 105.17
_cell_angle_gamma 24.85
_symmetry_space_group_name_H-M 'P 1'
_symmetry_Int_Tables_number 1
_symmetry_space_group_name_Hall 'P 1'
loop_
_atom_site_label
_atom_site_type_symbol
_atom_site_fract_x
_atom_site_fract_y
_atom_site_fract_z
_atom_site_occupancy
Nd1 Nd 0.168 0.168 0.332 1
Nd2 Nd 0.832 0.832 0.668 1
In1 In 0.166 0.166 0.834 1
In2 In 0.500 0.500 0.500 1
In3 In 0.834 0.834 0.166 1
Te1 Te 0.007 0.007 0.259 1
Te2 Te 0.331 0.331 0.428 1
Te3 Te 0.333 0.333 0.904 1
Te4 Te 0.667 0.667 0.096 1
Te5 Te 0.669 0.669 0.572 1
Te6 Te 0.993 0.993 0.741 1
Pb1 Pb 0.500 0.500 0.000 1
# Calculated total energy: -4.115 eV per atom
# Size of the total moment: 0.00 Bohr magnetons per cell
# SG: C2/m, No. 12


# 6
# Dy6InCo2 | Alexandria via LeMat-Bulk | PBE | relaxed
data_Dy6InCo2
_chemical_formula_sum 'Dy12 In2 Co4'
_cell_length_a 8.366
_cell_length_b 8.366
_cell_length_c 8.366
_cell_angle_alpha 112.19
_cell_angle_beta 109.39
_cell_angle_gamma 106.87
_symmetry_space_group_name_H-M 'P 1'
_symmetry_Int_Tables_number 1
_symmetry_space_group_name_Hall 'P 1'
loop_
_atom_site_label
_atom_site_type_symbol
_atom_site_fract_x
_atom_site_fract_y
_atom_site_fract_z
_atom_site_occupancy
Dy1 Dy 0.030 0.236 0.794 1
Dy2 Dy 0.184 0.286 0.470 1
Dy3 Dy 0.184 0.714 0.899 1
Dy4 Dy 0.324 0.012 0.688 1
Dy5 Dy 0.324 0.636 0.312 1
Dy6 Dy 0.442 0.236 0.206 1
Dy7 Dy 0.558 0.764 0.794 1
Dy8 Dy 0.676 0.364 0.688 1
Dy9 Dy 0.676 0.988 0.312 1
Dy10 Dy 0.816 0.286 0.101 1
Dy11 Dy 0.816 0.714 0.530 1
Dy12 Dy 0.970 0.764 0.206 1
In1 In 0.000 0.000 0.000 1
In2 In 0.500 0.500 0.000 1
Co1 Co 0.114 0.614 0.500 1
Co2 Co 0.340 0.000 0.340 1
Co3 Co 0.660 0.000 0.660 1
Co4 Co 0.886 0.386 0.500 1
# Calculated total energy: -5.221 eV per atom
# Energy of formation: -0.27 eV/atom
# Size of the total moment: 0.00 Bohr magnetons per cell
# SG: Immm, No. 71


# 7
# Cr5PbSe8 | Alexandria via LeMat-Bulk | PBE | relaxed
data_Cr5PbSe8
_chemical_formula_sum 'Cr5 Pb1 Se8'
_cell_length_a 9.813
_cell_length_b 9.813
_cell_length_c 8.949
_cell_angle_alpha 104.96
_cell_angle_beta 104.96
_cell_angle_gamma 21.61
_symmetry_space_group_name_H-M 'P 1'
_symmetry_Int_Tables_number 1
_symmetry_space_group_name_Hall 'P 1'
loop_
_atom_site_label
_atom_site_type_symbol
_atom_site_fract_x
_atom_site_fract_y
_atom_site_fract_z
_atom_site_occupancy
Cr1 Cr 0.000 0.000 0.000 1
Cr2 Cr 0.048 0.048 0.358 1
Cr3 Cr 0.342 0.342 0.029 1
Cr4 Cr 0.640 0.640 0.701 1
Cr5 Cr 0.688 0.688 0.063 1
Pb1 Pb 0.882 0.882 0.506 1
Se1 Se 0.108 0.108 0.883 1
Se2 Se 0.170 0.170 0.540 1
Se3 Se 0.263 0.263 0.218 1
Se4 Se 0.424 0.424 0.846 1
Se5 Se 0.514 0.514 0.524 1
Se6 Se 0.580 0.580 0.185 1
Se7 Se 0.767 0.767 0.877 1
Se8 Se 0.916 0.916 0.187 1
# Calculated total energy: -6.185 eV per atom
# Size of the total moment: 15.90 Bohr magnetons per cell
# SG: Cm, No. 8


# 8
# Li2EuIn | Alexandria via LeMat-Bulk | PBE | relaxed
data_Li2EuIn
_chemical_formula_sum 'Li2 Eu1 In1'
_cell_length_a 3.766
_cell_length_b 3.766
_cell_length_c 7.135
_cell_angle_alpha 90.00
_cell_angle_beta 90.00
_cell_angle_gamma 90.00
_symmetry_space_group_name_H-M 'P 1'
_symmetry_Int_Tables_number 1
_symmetry_space_group_name_Hall 'P 1'
loop_
_atom_site_label
_atom_site_type_symbol
_atom_site_fract_x
_atom_site_fract_y
_atom_site_fract_z
_atom_site_occupancy
Li1 Li 0.000 0.000 0.190 1
Li2 Li 0.000 0.000 0.810 1
Eu1 Eu 0.500 0.500 0.500 1
In1 In 0.500 0.500 0.000 1
# Calculated total energy: -4.336 eV per atom
# Energy of formation: -0.13 eV/atom
# Size of the total moment: 7.75 Bohr magnetons per cell
# SG: P4/mmm, No. 123


# 9
# Sm3Zn2Pd3 | Alexandria via LeMat-Bulk | PBE | relaxed
data_Sm3Zn2Pd3
_chemical_formula_sum 'Sm6 Zn4 Pd6'
_cell_length_a 6.116
_cell_length_b 6.116
_cell_length_c 14.323
_cell_angle_alpha 90.00
_cell_angle_beta 90.00
_cell_angle_gamma 139.52
_symmetry_space_group_name_H-M 'P 1'
_symmetry_Int_Tables_number 1
_symmetry_space_group_name_Hall 'P 1'
loop_
_atom_site_label
_atom_site_type_symbol
_atom_site_fract_x
_atom_site_fract_y
_atom_site_fract_z
_atom_site_occupancy
Sm1 Sm 0.079 0.921 0.607 1
Sm2 Sm 0.079 0.921 0.893 1
Sm3 Sm 0.351 0.649 0.750 1
Sm4 Sm 0.649 0.351 0.250 1
Sm5 Sm 0.921 0.079 0.107 1
Sm6 Sm 0.921 0.079 0.393 1
Zn1 Zn 0.221 0.779 0.089 1
Zn2 Zn 0.221 0.779 0.411 1
Zn3 Zn 0.779 0.221 0.589 1
Zn4 Zn 0.779 0.221 0.911 1
Pd1 Pd 0.346 0.654 0.250 1
Pd2 Pd 0.394 0.606 0.545 1
Pd3 Pd 0.394 0.606 0.955 1
Pd4 Pd 0.606 0.394 0.045 1
Pd5 Pd 0.606 0.394 0.455 1
Pd6 Pd 0.654 0.346 0.750 1
# Calculated total energy: -4.742 eV per atom
# Energy of formation: -0.71 eV/atom
# Polymorph energy (0 for the lowest one): 0 meV per atom
# Size of the total moment: 0.00 Bohr magnetons per cell
# SG: Cmcm, No. 63


# 10
# Y4ZnAu3 | Alexandria via LeMat-Bulk | PBE | relaxed
data_Y4ZnAu3
_chemical_formula_sum 'Y4 Zn1 Au3'
_cell_length_a 3.608
_cell_length_b 3.608
_cell_length_c 14.328
_cell_angle_alpha 90.00
_cell_angle_beta 90.00
_cell_angle_gamma 90.00
_symmetry_space_group_name_H-M 'P 1'
_symmetry_Int_Tables_number 1
_symmetry_space_group_name_Hall 'P 1'
loop_
_atom_site_label
_atom_site_type_symbol
_atom_site_fract_x
_atom_site_fract_y
_atom_site_fract_z
_atom_site_occupancy
Y1 Y 0.000 0.000 0.123 1
Y2 Y 0.000 0.000 0.373 1
Y3 Y 0.000 0.000 0.627 1
Y4 Y 0.000 0.000 0.877 1
Zn1 Zn 0.500 0.500 0.000 1
Au1 Au 0.500 0.500 0.245 1
Au2 Au 0.500 0.500 0.500 1
Au3 Au 0.500 0.500 0.755 1
# Calculated total energy: -5.360 eV per atom
# Energy of formation: -0.74 eV/atom
# Polymorph energy (0 for the lowest one): 0 meV per atom
# Size of the total moment: 0.00 Bohr magnetons per cell
# SG: P4/mmm, No. 123


# 11
# Nd3YTm12 | Alexandria via LeMat-Bulk | PBE | relaxed
data_Nd3YTm12
_chemical_formula_sum 'Nd3 Y1 Tm12'
_cell_length_a 4.991
_cell_length_b 4.991
_cell_length_c 19.979
_cell_angle_alpha 90.00
_cell_angle_beta 90.00
_cell_angle_gamma 90.00
_symmetry_space_group_name_H-M 'P 1'
_symmetry_Int_Tables_number 1
_symmetry_space_group_name_Hall 'P 1'
loop_
_atom_site_label
_atom_site_type_symbol
_atom_site_fract_x
_atom_site_fract_y
_atom_site_fract_z
_atom_site_occupancy
Nd1 Nd 0.000 0.000 0.000 1
Nd2 Nd 0.000 0.000 0.250 1
Nd3 Nd 0.000 0.000 0.750 1
Y1 Y 0.000 0.000 0.500 1
Tm1 Tm 0.000 0.500 0.125 1
Tm2 Tm 0.000 0.500 0.376 1
Tm3 Tm 0.000 0.500 0.624 1
Tm4 Tm 0.000 0.500 0.875 1
Tm5 Tm 0.500 0.000 0.125 1
Tm6 Tm 0.500 0.000 0.376 1
Tm7 Tm 0.500 0.000 0.624 1
Tm8 Tm 0.500 0.000 0.875 1
Tm9 Tm 0.500 0.500 0.000 1
Tm10 Tm 0.500 0.500 0.251 1
Tm11 Tm 0.500 0.500 0.500 1
Tm12 Tm 0.500 0.500 0.749 1
# Calculated total energy: -4.623 eV per atom
# Energy of formation: 0.03 eV/atom
# Size of the total moment: 0.00 Bohr magnetons per cell
# SG: P4/mmm, No. 123


# 12
# Tm6Tl3Cu | Alexandria via LeMat-Bulk | PBE | relaxed
data_Tm6Tl3Cu
_chemical_formula_sum 'Tm12 Tl6 Cu2'
_cell_length_a 6.070
_cell_length_b 8.739
_cell_length_c 11.985
_cell_angle_alpha 90.00
_cell_angle_beta 118.77
_cell_angle_gamma 90.00
_symmetry_space_group_name_H-M 'P 1'
_symmetry_Int_Tables_number 1
_symmetry_space_group_name_Hall 'P 1'
loop_
_atom_site_label
_atom_site_type_symbol
_atom_site_fract_x
_atom_site_fract_y
_atom_site_fract_z
_atom_site_occupancy
Tm1 Tm 0.054 0.163 0.436 1
Tm2 Tm 0.054 0.337 0.936 1
Tm3 Tm 0.340 0.695 0.434 1
Tm4 Tm 0.340 0.805 0.934 1
Tm5 Tm 0.404 0.061 0.267 1
Tm6 Tm 0.404 0.439 0.767 1
Tm7 Tm 0.596 0.561 0.233 1
Tm8 Tm 0.596 0.939 0.733 1
Tm9 Tm 0.660 0.195 0.066 1
Tm10 Tm 0.660 0.305 0.566 1
Tm11 Tm 0.946 0.663 0.064 1
Tm12 Tm 0.946 0.837 0.564 1
Tl1 Tl 0.000 0.000 0.000 1
Tl2 Tl 0.000 0.500 0.500 1
Tl3 Tl 0.168 0.110 0.760 1
Tl4 Tl 0.168 0.390 0.260 1
Tl5 Tl 0.832 0.610 0.740 1
Tl6 Tl 0.832 0.890 0.240 1
Cu1 Cu 0.500 0.000 0.500 1
Cu2 Cu 0.500 0.500 0.000 1
# Calculated total energy: -3.933 eV per atom
# Energy of formation: -0.13 eV/atom
# Size of the total moment: 0.00 Bohr magnetons per cell
# SG: P2_1/c, No. 14